# 1
Fe2RhSe | PBE | relaxed

Summary:
formation energy from raw total energies	134.9	meV/atom

abc: 3.1071 4.2266 4.2811
angles: 90.00 90.00 90.00
Closest atoms and distances in Å follow each position.
Atoms (fractional coordinates):
Fe1 0.0000 0.0000 0.0000  4 Se 2.62, 4 Fe 2.64
Fe2 0.5000 0.0000 0.5000  4 Rh 2.62, 4 Fe 2.64
Rh1 0.0000 0.5000 0.5000  4 Fe 2.62, 4 Se 2.64
Se1 0.5000 0.5000 0.0000  4 Fe 2.62, 4 Rh 2.64

---

# 2
KReTe2N | PBE | relaxed

Summary:
formation energy from raw total energies	39.7	meV/atom
offset from the most stable computed form	0.000	eV/atom

abc: 5.7132 5.7132 3.7840
angles: 90.00 90.00 90.00
Closest atoms and distances in Å follow each position.
Atoms (fractional coordinates):
K1 0.0000 0.0000 0.0000  8 Te 3.43, 2 K 3.78
Re1 0.5000 0.5000 0.5000  2 N 1.89
Te1 0.0000 0.5000 0.5000  2 Re 2.86
Te2 0.5000 0.0000 0.5000  2 Re 2.86
N1 0.5000 0.5000 0.0000  2 Re 1.89

---

# 3
Sc2SnB2Rh5 | PBE | relaxed

abc: 9.3877 9.3877 3.2055
angles: 90.00 90.00 90.00
Closest atoms and distances in Å follow each position.
Atoms (fractional coordinates):
Sc1 0.1746 0.3254 0.0000  3 B 2.69-2.83, 10 Rh 2.82-2.98
Sc2 0.3254 0.8254 0.0000  3 B 2.69-2.83, 10 Rh 2.82-2.98
Sc3 0.6746 0.1746 0.0000  3 B 2.69-2.83, 10 Rh 2.82-2.98
Sc4 0.8254 0.6746 0.0000  3 B 2.69-2.83, 10 Rh 2.82-2.98
Sn1 0.0000 0.0000 0.0000  8 Rh 2.72
Sn2 0.5000 0.5000 0.0000  8 Rh 2.72
B1 0.1224 0.6224 0.0000  6 Rh 2.21-2.28
B2 0.3776 0.1224 0.0000  6 Rh 2.21-2.28
B3 0.6224 0.8776 0.0000  6 Rh 2.21-2.28
B4 0.8776 0.3776 0.0000  6 Rh 2.21-2.28
Rh1 0.0000 0.5000 0.5000  4 B 2.28
Rh2 0.0719 0.7772 0.5000  2 B 2.21
Rh3 0.2228 0.0719 0.5000  2 B 2.21
Rh4 0.2772 0.5719 0.5000  2 B 2.21
Rh5 0.4281 0.2772 0.5000  2 B 2.21
Rh6 0.5000 0.0000 0.5000  4 B 2.28
Rh7 0.5719 0.7228 0.5000  2 B 2.21
Rh8 0.7228 0.4281 0.5000  2 B 2.21
Rh9 0.7772 0.9281 0.5000  2 B 2.21
Rh10 0.9281 0.2228 0.5000  2 B 2.21

---

# 4
Ba2CePmS6 | PBE | relaxed

Summary:
formation energy from raw total energies	-1800.9	meV/atom

abc: 7.3069 7.6842 12.7660
angles: 90.00 124.49 90.00
Closest atoms and distances in Å follow each position.
Atoms (fractional coordinates):
Ba1 0.2260 0.0674 0.2491  6 S 3.19-3.40
Ba2 0.2260 0.4326 0.7491  6 S 3.19-3.40
Ba3 0.7740 0.5674 0.2509  6 S 3.19-3.40
Ba4 0.7740 0.9326 0.7509  6 S 3.19-3.40
Ce1 0.5000 0.0000 0.0000  6 S 2.70-2.72
Ce2 0.5000 0.5000 0.5000  6 S 2.70-2.72
Pm1 0.0000 0.0000 0.5000  6 S 2.78-2.79
Pm2 0.0000 0.5000 0.0000  6 S 2.78-2.79
S1 0.1539 0.2002 0.9496  1 Ce 2.71, 1 Pm 2.79
S2 0.1539 0.2998 0.4496  1 Ce 2.71, 1 Pm 2.79
S3 0.2494 0.7094 0.9465  1 Ce 2.72, 1 Pm 2.79
S4 0.2494 0.7906 0.4465  1 Ce 2.72, 1 Pm 2.79
S5 0.3525 0.0295 0.7536  1 Ce 2.70, 1 Pm 2.78
S6 0.3525 0.4705 0.2536  1 Ce 2.70, 1 Pm 2.78
S7 0.6475 0.5295 0.7464  1 Ce 2.70, 1 Pm 2.78
S8 0.6475 0.9705 0.2464  1 Ce 2.70, 1 Pm 2.78
S9 0.7506 0.2094 0.5535  1 Ce 2.72, 1 Pm 2.79
S10 0.7506 0.2906 0.0535  1 Ce 2.72, 1 Pm 2.79
S11 0.8461 0.7002 0.5504  1 Ce 2.71, 1 Pm 2.79
S12 0.8461 0.7998 0.0504  1 Ce 2.71, 1 Pm 2.79

---

# 5
Na2UBiS4 | PBE | relaxed

Summary:
formation energy from raw total energies	-1018.9	meV/atom

abc: 7.0782 4.0731 7.1114
angles: 90.00 109.37 90.00
Closest atoms and distances in Å follow each position.
Atoms (fractional coordinates):
Na1 0.0000 0.0000 0.0000  6 S 2.93
Na2 0.5000 0.5000 0.0000  6 S 2.99-3.00
U1 0.0000 0.5000 0.5000  6 S 2.79-2.80
Bi1 0.5000 0.0000 0.5000  6 S 2.85-2.87
S1 0.2362 0.0000 0.7310  2 U 2.80, 1 Bi 2.87, 3 Na 2.93-2.99
S2 0.2476 0.5000 0.2658  1 U 2.79, 2 Bi 2.85, 3 Na 2.93-3.00
S3 0.7524 0.5000 0.7342  1 U 2.79, 2 Bi 2.85, 3 Na 2.93-3.00
S4 0.7638 0.0000 0.2690  2 U 2.80, 1 Bi 2.87, 3 Na 2.93-2.99

---

# 6
CsBe3Si | PBE | relaxed

Summary:
formation energy from raw total energies	2740.9	meV/atom
offset from the most stable computed form	1.663	eV/atom

abc: 5.0674 5.0674 5.0674
angles: 90.00 90.00 90.00
Closest atoms and distances in Å follow each position.
Atoms (fractional coordinates):
Cs1 0.0000 0.0000 0.0000  6 Be 2.53
Be1 0.0000 0.0000 0.5000  2 Cs 2.53
Be2 0.0000 0.5000 0.0000  2 Cs 2.53
Be3 0.5000 0.0000 0.0000  2 Cs 2.53
Si1 0.5000 0.5000 0.5000  12 Be 3.58

---

# 7
KLiGa2Au2 | PBE | relaxed

abc: 4.5127 4.5127 7.8904
angles: 90.00 90.00 120.00
Closest atoms and distances in Å follow each position.
Atoms (fractional coordinates):
K1 0.0000 0.0000 0.0000  6 Au 3.67, 6 Ga 3.67, 2 Li 3.95
Li1 0.0000 0.0000 0.5000  6 Ga 2.94, 6 Au 2.94
Ga1 0.3333 0.6667 0.6720  4 Au 2.61-2.72
Ga2 0.6667 0.3333 0.3280  4 Au 2.61-2.72
Au1 0.3333 0.6667 0.3271  4 Ga 2.61-2.72
Au2 0.6667 0.3333 0.6729  4 Ga 2.61-2.72

---

# 8
PmCu3Ni | PBE | relaxed

Summary:
offset from the most stable computed form	0.281	eV/atom

abc: 8.5742 8.5742 8.5742
angles: 146.60 146.60 47.95
Closest atoms and distances in Å follow each position.
Atoms (fractional coordinates):
Pm1 0.1699 0.1699 0.0000  2 Ni 2.76, 4 Cu 2.87
Pm2 0.8301 0.8301 0.0000  2 Ni 2.76, 4 Cu 2.87
Cu1 0.3768 0.6219 0.7548  2 Ni 2.26-2.37, 2 Cu 2.42-2.51
Cu2 0.3781 0.1329 0.7548  2 Ni 2.26-2.37, 2 Cu 2.42-2.51
Cu3 0.3781 0.6232 0.2452  2 Ni 2.26-2.37, 2 Cu 2.42-2.51
Cu4 0.5276 0.0276 0.5000  2 Ni 2.50, 2 Cu 2.66
Cu5 0.8671 0.6219 0.2452  2 Ni 2.26-2.37, 2 Cu 2.42-2.51
Cu6 0.9724 0.4724 0.5000  2 Ni 2.50, 2 Cu 2.66
Ni1 0.2500 0.7500 0.5000  4 Cu 2.37
Ni2 0.5000 0.5000 0.0000  8 Cu 2.26-2.50

---

Values for E_tot, eV/atom, ordered as above
-6.805, -5.591, -7.521, -5.730, -5.309, -0.750, -3.011, -4.420
Values for calculated volume, Å³/atom, ordered as above
14.055, 24.703, 14.125, 29.538, 24.177, 26.025, 23.193, 19.021